[1]
Entry from Alexandria: crystalline TaTi2Nb2 at its relaxed geometry (GGA-PBE).

Summary:
**Energy**: -9.294 eV per atom
**ΔH_f (0 K)**: 0.262 eV per atom
**Energy above the most stable polymorph in this dataset**: 3.62 kcal/mol of atoms

a = 7.2112 Å, b = 7.2112 Å, c = 3.4883 Å
α = 90.00°, β = 90.00°, γ = 90.00°
Each line ends with the local moment (μB).
Positions (direct):
Nb1 0.3307 0.1693 0.5000  -0.03
Nb2 0.1693 0.6693 0.5000  -0.04
Nb3 0.6693 0.8307 0.5000  -0.03
Nb4 0.8307 0.3307 0.5000  -0.04
Ti1 0.6325 0.1325 0.0000  0.18
Ti2 0.1325 0.3675 0.0000  0.18
Ti3 0.3675 0.8675 0.0000  0.18
Ti4 0.8675 0.6325 0.0000  0.18
Ta1 0.5000 0.5000 0.0000  0.41
Ta2 0.0000 0.0000 0.0000  0.41

***

[2]
Entry from Alexandria: crystalline ZrTlSb2 at its relaxed geometry (GGA-PBE).

Summary:
**Energy**: -4.764 eV per atom
**ΔE_f (raw)**: 0.1 eV per formula unit
**Energy above the most stable polymorph in this dataset**: 7.07 kcal/mol of atoms

a = 5.2928 Å, b = 5.2928 Å, c = 5.2928 Å
α = 60.00°, β = 60.00°, γ = 60.00°
Positions (direct):
Tl1 0.5000 0.5000 0.5000
Zr1 0.0000 0.0000 0.0000
Sb1 0.7500 0.7500 0.7500
Sb2 0.2500 0.2500 0.2500

***

[3]
Entry from Alexandria: crystalline Ga4Cu15Si at its relaxed geometry (GGA-PBE).

Summary:
**Energy**: -4.034 eV per atom
**ΔE_f (raw)**: -1.7 eV per formula unit

a = 3.6727 Å, b = 3.6727 Å, c = 18.5723 Å
α = 90.00°, β = 90.00°, γ = 90.00°
Positions (direct):
Cu1 0.5000 0.0000 0.2977
Cu2 0.5000 0.5000 0.6014
Cu3 0.5000 0.0000 0.5000
Cu4 0.0000 0.5000 0.0956
Cu5 0.5000 0.0000 0.7023
Cu6 0.0000 0.5000 0.5000
Cu7 0.5000 0.5000 0.0000
Cu8 0.0000 0.5000 0.2977
Cu9 0.0000 0.5000 0.9044
Cu10 0.0000 0.5000 0.7023
Cu11 0.5000 0.5000 0.8033
Cu12 0.5000 0.5000 0.3986
Cu13 0.5000 0.0000 0.0956
Cu14 0.5000 0.0000 0.9044
Cu15 0.5000 0.5000 0.1967
Ga1 0.0000 0.0000 0.1968
Ga2 0.0000 0.0000 0.6014
Ga3 0.0000 0.0000 0.3986
Ga4 0.0000 0.0000 0.8032
Si1 0.0000 0.0000 0.0000

***

[4]
Entry from Alexandria: crystalline CsPm3Cl10 at its relaxed geometry (GGA-PBE).

Summary:
**Energy**: -4.633 eV per atom
**ΔE_f (raw)**: -31.3 eV per formula unit

a = 10.2694 Å, b = 10.2694 Å, c = 10.2694 Å
α = 60.00°, β = 60.00°, γ = 60.00°
Positions (direct):
Cl1 0.0000 0.6649 0.0000
Cl2 0.3351 0.0000 0.6649
Cl3 0.0000 0.6649 0.3351
Cl4 0.3868 0.8396 0.3868
Cl5 0.6132 0.6132 0.1604
Cl6 0.0000 0.0000 0.6649
Cl7 0.6649 0.3351 0.0000
Cl8 0.3868 0.3868 0.8396
Cl9 0.3868 0.3868 0.3868
Cl10 0.6132 0.6132 0.6132
Cl11 0.6132 0.1604 0.6132
Cl12 0.3351 0.6649 0.0000
Cl13 0.0000 0.3351 0.6649
Cl14 0.3351 0.0000 0.0000
Cl15 0.0000 0.3351 0.0000
Cl16 0.0000 0.0000 0.3351
Cl17 0.8396 0.3868 0.3868
Cl18 0.6649 0.0000 0.0000
Cl19 0.1604 0.6132 0.6132
Cl20 0.6649 0.0000 0.3351
Pm1 0.2601 0.7399 0.7399
Pm2 0.2601 0.2601 0.7399
Pm3 0.7399 0.2601 0.2601
Pm4 0.7399 0.2601 0.7399
Pm5 0.7399 0.7399 0.2601
Pm6 0.2601 0.7399 0.2601
Cs1 0.2500 0.2500 0.2500
Cs2 0.7500 0.7500 0.7500

***

[5]
Entry from Alexandria: crystalline Li2GaF6 at its relaxed geometry (GGA-PBE).

Summary:
**Energy**: -4.393 eV per atom
**ΔE_f (raw)**: -21.5 eV per formula unit
**Energy above the most stable polymorph in this dataset**: 1.36 kcal/mol of atoms

a = 3.1168 Å, b = 4.9722 Å, c = 7.5968 Å
α = 96.27°, β = 90.00°, γ = 108.27°
Each line ends with the local moment (μB).
Positions (direct):
Ga1 0.0000 0.0000 0.5000  0.00
F1 0.6240 0.2479 0.5851  0.01
F2 0.1701 0.3403 0.9114  0.38
F3 0.3760 0.7521 0.4149  0.01
F4 0.0771 0.1543 0.2894  0.07
F5 0.8299 0.6597 0.0886  0.38
F6 0.9229 0.8457 0.7106  0.07
Li1 0.2448 0.4896 0.1773  -0.01
Li2 0.7552 0.5104 0.8227  -0.01

***

[6]
Entry from Alexandria: crystalline Pm2HoSb at its relaxed geometry (GGA-PBE).

Summary:
**Energy**: -5.064 eV per atom
**ΔE_f (raw)**: -2.1 eV per formula unit
**Energy above the most stable polymorph in this dataset**: 0.82 kcal/mol of atoms

a = 4.8909 Å, b = 4.8366 Å, c = 4.8366 Å
α = 90.00°, β = 90.00°, γ = 90.00°
Positions (direct):
Sb1 0.5000 0.0000 0.0000
Pm1 0.0000 0.5000 0.0000
Pm2 0.0000 0.0000 0.5000
Ho1 0.5000 0.5000 0.5000

***

[7]
Entry from Alexandria: crystalline CaMgTl3Pb at its relaxed geometry (GGA-PBE).

Summary:
**Energy**: -2.555 eV per atom
**ΔH_f (0 K)**: -0.155 eV per atom

a = 4.6411 Å, b = 7.6362 Å, c = 10.2531 Å
α = 90.00°, β = 90.00°, γ = 107.69°
Positions (direct):
Tl1 0.3409 0.6818 0.0008
Tl2 0.3409 0.6818 0.4992
Tl3 0.6591 0.3182 0.9992
Tl4 0.6591 0.3182 0.5008
Tl5 0.1530 0.3059 0.7500
Tl6 0.8470 0.6941 0.2500
Mg1 0.0000 0.0000 0.5000
Mg2 0.0000 0.0000 0.0000
Pb1 0.4938 0.9877 0.7500
Pb2 0.5062 0.0123 0.2500
Ca1 0.1789 0.3578 0.2500
Ca2 0.8211 0.6422 0.7500

***

[8]
Entry from Alexandria: crystalline ZnCr4Co at its relaxed geometry (GGA-PBE).

Summary:
**Energy**: -7.501 eV per atom
**ΔH_f (0 K)**: 0.311 eV per atom

a = 4.6916 Å, b = 4.6916 Å, c = 4.6916 Å
α = 60.00°, β = 60.00°, γ = 60.00°
Positions (direct):
Zn1 0.7500 0.7500 0.7500
Cr1 0.3763 0.3763 0.8711
Cr2 0.8711 0.3763 0.3763
Cr3 0.3763 0.3763 0.3763
Cr4 0.3763 0.8711 0.3763
Co1 0.0000 0.0000 0.0000